1.
The following is a DFT calculation (PBE-GGA) of a relaxed ZrTc crystal.

It has space group Pmmn (No. 59, origin choice 2), with a = 4.7406 Å, b = 11.2456 Å, c = 5.5065 Å, α = 90.00°, β = 90.00° and γ = 90.00°. Symmetry generates all atoms from Zr at (0.2500, 0.0938, 0.0828), Zr at (0.2500, 0.2500, 0.5856), Zr at (0.2500, 0.7500, 0.7430), Tc at (0.2500, 0.5197, 0.6175) and Tc at (0.2500, 0.6380, 0.2027).

The formation energy is -2.39 kcal/mol of atoms.



2.
The following is a DFT calculation (PBE-GGA) of a relaxed ZnCu2Ni crystal.

It has space group F-43m (No. 216), with a = 5.7666 Å, b = 5.7666 Å, c = 5.7666 Å, α = 90.00°, β = 90.00° and γ = 90.00°. Symmetry generates all atoms from Zn at (0.0000, 0.0000, 0.0000), Cu at (0.0000, 0.0000, 0.5000), Cu at (0.2500, 0.2500, 0.7500) and Ni at (0.2500, 0.2500, 0.2500).

The formation energy is -1.88 kcal/mol of atoms.



3.
The following is a DFT calculation (PBE-GGA) of a relaxed BaPmSn crystal.

It has space group F-43m (No. 216), with a = 7.6714 Å, b = 7.6714 Å, c = 7.6714 Å, α = 90.00°, β = 90.00° and γ = 90.00°. Symmetry generates all atoms from Ba at (0.0000, 0.0000, 0.0000), Pm at (0.2500, 0.2500, 0.2500) and Sn at (0.0000, 0.0000, 0.5000).

The relative energy among the computed polymorphs is 0.00 eV/f.u.



4.
The following is a DFT calculation (PBE-GGA) of a relaxed DyF crystal.

It has space group Fm-3m (No. 225), with a = 5.0338 Å, b = 5.0338 Å, c = 5.0338 Å, α = 90.00°, β = 90.00° and γ = 90.00°. Symmetry generates all atoms from Dy at (0.0000, 0.0000, 0.0000) and F at (0.0000, 0.0000, 0.5000).

The relative energy among the computed polymorphs is 0.59 eV/f.u.



5.
The following is a DFT calculation (PBE-GGA) of a relaxed RbMgSbPt crystal.

It has space group F-43m (No. 216), with a = 7.1746 Å, b = 7.1746 Å, c = 7.1746 Å, α = 90.00°, β = 90.00° and γ = 90.00°. Symmetry generates all atoms from Rb at (0.0000, 0.0000, 0.0000), Mg at (0.2500, 0.2500, 0.7500), Sb at (0.2500, 0.2500, 0.2500) and Pt at (0.0000, 0.0000, 0.5000).

The relative energy among the computed polymorphs is 0.00 eV/f.u.



6.
The following is a DFT calculation (PBE-GGA) of a relaxed Ba3Na2Tc3 crystal.

It has space group P-4m2 (No. 115), with a = 5.4336 Å, b = 5.4336 Å, c = 10.2789 Å, α = 90.00°, β = 90.00° and γ = 90.00°. Symmetry generates all atoms from Ba at (0.0000, 0.0000, 0.0000), Ba at (0.0000, 0.0000, 0.5000), Ba at (0.5000, 0.5000, 0.0000), Na at (0.0000, 0.5000, 0.7279), Tc at (0.5000, 0.5000, 0.2861) and Tc at (0.5000, 0.5000, 0.5000).

The total energy is -3.74 eV/atom.



7.
The following is a DFT calculation (PBE-GGA) of a relaxed Nd3In3Ag2Pt crystal.

It has space group P-62m (No. 189), with a = 7.8438 Å, b = 7.8438 Å, c = 4.1496 Å, α = 90.00°, β = 90.00° and γ = 120.00°. Symmetry generates all atoms from Nd at (0.0000, 0.5984, 0.0000), In at (0.0000, 0.2504, 0.5000), Ag at (0.3333, 0.6667, 0.5000) and Pt at (0.0000, 0.0000, 0.0000).

The total energy is -4.39 eV/atom.



8.
The following is a DFT calculation (PBE-GGA) of a relaxed GdPdPt crystal.

It has space group F-43m (No. 216), with a = 6.5027 Å, b = 6.5027 Å, c = 6.5027 Å, α = 90.00°, β = 90.00° and γ = 90.00°. Symmetry generates all atoms from Gd at (0.0000, 0.0000, 0.0000), Pd at (0.0000, 0.0000, 0.5000) and Pt at (0.2500, 0.2500, 0.2500).

The formation energy is -16.66 kcal/mol of atoms. The relative energy among the computed polymorphs is 0.00 eV/f.u.